1.
Density functional theory data (PBE) for a relaxed structure of CaMgZn.

abc: 7.869 3.455 10.946
angles: 90.00 90.00 90.00
Atoms (fractional coordinates):
Ca 0.163 0.250 0.090
Ca 0.337 0.750 0.590
Ca 0.663 0.250 0.410
Ca 0.837 0.750 0.910
Mg 0.083 0.250 0.383
Mg 0.417 0.750 0.883
Mg 0.583 0.250 0.117
Mg 0.917 0.750 0.617
Zn 0.130 0.250 0.791
Zn 0.370 0.750 0.291
Zn 0.630 0.250 0.709
Zn 0.870 0.750 0.209

Computed properties:
* ΔE_f: -0.076 eV per atom
* volume: 74.4 Å³/f.u.
* magnetization: 0.000 μB per atom

2.
Density functional theory data (PBE) for a relaxed structure of CaMgZn2.

abc: 5.196 5.196 8.380
angles: 90.00 90.00 120.00
Atoms (fractional coordinates):
Ca 0.333 0.667 0.250
Ca 0.667 0.333 0.750
Mg 0.000 0.000 0.250
Mg 0.000 0.000 0.750
Zn 0.333 0.667 0.604
Zn 0.333 0.667 0.896
Zn 0.667 0.333 0.104
Zn 0.667 0.333 0.396

Computed properties:
* ΔE_f: 0.147 eV per atom
* volume: 98.0 Å³/f.u.
* magnetization: 0.000 μB per atom

3.
Density functional theory data (PBE) for a relaxed structure of Ca4MgZn5.

abc: 3.598 3.598 18.178
angles: 90.00 90.00 90.00
Atoms (fractional coordinates):
Ca 0.000 0.000 0.104
Ca 0.000 0.000 0.312
Ca 0.000 0.000 0.688
Ca 0.000 0.000 0.896
Mg 0.000 0.000 0.500
Zn 0.500 0.500 0.000
Zn 0.500 0.500 0.209
Zn 0.500 0.500 0.421
Zn 0.500 0.500 0.579
Zn 0.500 0.500 0.791

Computed properties:
* ΔE_f: -0.202 eV per atom
* volume: 235.3 Å³/f.u.
* magnetization: 0.000 μB per atom

4.
Density functional theory data (PBE) for a relaxed structure of Ca5MgZn6.

abc: 8.864 8.864 5.075
angles: 106.58 106.58 119.76
Atoms (fractional coordinates):
Ca 0.000 0.000 0.000
Ca 0.166 0.834 0.500
Ca 0.330 0.670 0.000
Ca 0.670 0.330 0.000
Ca 0.834 0.166 0.500
Mg 0.500 0.500 0.500
Zn 0.106 0.423 0.265
Zn 0.270 0.270 0.769
Zn 0.423 0.106 0.265
Zn 0.577 0.894 0.735
Zn 0.730 0.730 0.231
Zn 0.894 0.577 0.735

Computed properties:
* ΔE_f: -0.204 eV per atom
* volume: 284.7 Å³/f.u.
* magnetization: 0.000 μB per atom